(1)
Below is a geometry-optimized MgSbTeI2 structure, with properties calculated at the PBEsol level.

Geometry as POSCAR:
```
MgSbTeI2
1.0
-1.4897 4.6858 -3.1787
-5.6015 -0.8273 1.4055
0.6757 3.3987 4.6935
I Sb Mg Te
2 1 1 1
Direct
0.0000 0.0000 0.5000
0.0000 0.5000 0.0000
0.5000 0.0000 0.0000
0.5000 0.5000 0.5000
0.0000 0.0000 0.0000
```

Output
- ΔE_f (raw) (eV per atom) = 0.37
- space group = P4/mmm (123)

(2)
Below is a geometry-optimized NiRuI2N structure, with properties calculated at the PBEsol level.

Geometry as POSCAR:
```
NiRuI2N
1.0
3.6256 0.0000 0.0000
0.0000 5.3771 0.0000
0.0000 0.0000 5.3771
I Ru N Ni
2 1 1 1
Direct
0.0000 0.0000 0.5000
0.0000 0.5000 0.0000
0.0000 0.0000 0.0000
0.5000 0.0000 0.0000
0.5000 0.5000 0.5000
```

Output
- ΔE_f (raw) (eV per atom) = 0.72
- space group = P4/mmm (123)

(3)
Below is a geometry-optimized Zr3Pt structure, with properties calculated at the PBEsol level.

Geometry as POSCAR:
```
Zr3Pt
1.0
-0.2793 5.7083 -1.0125
-1.5522 -1.1074 -5.8151
-9.0212 -0.0138 2.4107
Pt Zr
4 12
Direct
0.6157 0.1082 0.7500
0.1157 0.3918 0.2500
0.8843 0.6082 0.7500
0.3843 0.8918 0.2500
0.8396 0.0313 0.2500
0.3784 0.2121 0.0464
0.3784 0.2121 0.4536
0.8784 0.2879 0.5464
0.8784 0.2879 0.9536
0.3396 0.4687 0.7500
0.6604 0.5313 0.2500
0.1216 0.7121 0.0464
0.1216 0.7121 0.4536
0.6216 0.7879 0.5464
0.6216 0.7879 0.9536
0.1604 0.9687 0.7500
```

Output
- formation energy (meV per atom) = -528
- space group = Pnma (62)

(4)
Below is a geometry-optimized Mg5Sb structure, with properties calculated at the PBEsol level.

Geometry as POSCAR:
```
Mg5Sb
1.0
3.3533 0.0000 0.0000
-1.6767 5.7817 -0.0206
0.0000 -2.0789 7.1132
Mg Sb
5 1
Direct
0.9946 0.9893 0.9978
0.3350 0.6700 0.6604
0.6645 0.3291 0.3306
0.6146 0.2293 0.7307
0.9484 0.8968 0.3923
0.2761 0.5523 0.0549
```

Output
- polymorph energy (0 for the lowest one) (meV/atom) = 57
- ΔE_f (raw) (eV per atom) = -0.06
- space group = Cm (8)

(5)
Below is a geometry-optimized Na2Sn2Pd structure, with properties calculated at the PBEsol level.

Geometry as POSCAR:
```
Na2Sn2Pd
1.0
-3.7282 -0.6615 -3.4969
-2.3907 -5.3801 3.5665
-4.1079 4.2018 3.5848
Na Sn Pd
4 4 2
Direct
0.5000 0.1724 0.6724
0.5000 0.6724 0.8276
0.5000 0.8276 0.3276
0.5000 0.3276 0.1724
0.0000 0.3541 0.8541
0.0000 0.8541 0.6459
0.0000 0.6459 0.1459
0.0000 0.1459 0.3541
0.0000 0.0000 0.0000
0.0000 0.5000 0.5000
```

Output
- formation energy (meV per atom) = -264
- space group = P4/mbm (127)

(6)
Below is a geometry-optimized FeRe3 structure, with properties calculated at the PBEsol level.

Geometry as POSCAR:
```
FeRe3
1.0
-0.8374 -2.5381 -0.4102
2.1682 -0.1142 -3.7202
3.7680 -1.6061 2.2453
Re Fe
3 1
Direct
0.0000 0.5000 0.3279
0.5000 0.0000 0.5060
0.5000 0.5000 0.8401
0.0000 0.0000 0.9927
```

Output
- formation energy (meV per atom) = 29
- space group = Pmm2 (25)

(7)
Below is a geometry-optimized LaP2Ir structure, with properties calculated at the PBEsol level.

Geometry as POSCAR:
```
LaP2Ir
1.0
-1.4488 3.0118 1.9125
-2.1832 1.1924 -3.5317
-3.0533 -2.5439 1.6931
Ir La P
1 1 2
Direct
0.5000 0.5000 0.5000
0.5000 0.0000 0.0000
0.0000 0.0000 0.5000
0.0000 0.5000 0.0000
```

Output
- formation energy (meV per atom) = -305
- space group = Cmmm (65)

(8)
Below is a geometry-optimized Sr2SiW structure, with properties calculated at the PBEsol level.

Geometry as POSCAR:
```
Sr2SiW
1.0
-4.2906 1.4599 -1.2225
-0.2935 -3.4849 -3.1313
0.6648 -1.3969 5.0109
Si Sr W
1 2 1
Direct
0.2500 0.7500 0.5000
0.0000 0.0000 0.0000
0.7500 0.2500 0.5000
0.5000 0.5000 0.0000
```

Output
- ΔE_f (raw) (eV per atom) = 0.91
- space group = I-4m2 (119)

(9)
Below is a geometry-optimized AlBTe2 structure, with properties calculated at the PBEsol level.

Geometry as POSCAR:
```
AlBTe2
1.0
-1.8601 -2.9669 2.4225
-0.7216 -3.8895 -1.5755
5.6003 -4.4299 2.6170
B Te Al
1 2 1
Direct
0.0000 0.0000 0.0000
0.9054 0.9054 0.2839
0.0946 0.0946 0.7161
0.5000 0.5000 0.5000
```

Output
- polymorph energy (0 for the lowest one) (meV/atom) = 214
- ΔE_f (raw) (eV per atom) = 0.64
- space group = R-3m (166)

(10)
Below is a geometry-optimized InCoSb3 structure, with properties calculated at the PBEsol level.

Geometry as POSCAR:
```
InCoSb3
1.0
-1.8178 -2.3188 -3.9642
-0.2554 -4.2057 2.5772
-4.5854 1.1535 1.4280
Sb Co In
3 1 1
Direct
0.0000 0.5000 0.0000
0.0000 0.0000 0.5000
0.5000 0.0000 0.0000
0.0000 0.0000 0.0000
0.5000 0.5000 0.5000
```

Output
- ΔE_f (raw) (eV per atom) = 0.28
- space group = Pm-3m (221)

(11)
Below is a geometry-optimized CaScTa2 structure, with properties calculated at the PBEsol level.

Geometry as POSCAR:
```
CaScTa2
1.0
-2.3271 -1.6435 -0.0588
1.6515 -3.1998 -4.5006
3.0459 -4.8555 0.8790
Sc Ca Ta
1 1 2
Direct
0.5000 0.5000 0.0000
0.5000 0.0000 0.0000
0.0000 0.5000 0.5000
0.0000 0.0000 0.5000
```

Output
- formation energy (meV per atom) = 577
- space group = C2/m (12)

(12)
Below is a geometry-optimized Cs2KYCl6 structure, with properties calculated at the PBEsol level.

Geometry as POSCAR:
```
Cs2KYCl6
1.0
-1.3529 -3.5530 6.8468
-6.3511 -4.4946 0.8916
0.7554 -7.7723 0.5950
Cs Y K Cl
2 1 1 6
Direct
0.7500 0.7500 0.7500
0.2500 0.2500 0.2500
0.0000 0.0000 0.0000
0.5000 0.5000 0.5000
0.7652 0.2348 0.2348
0.2348 0.7652 0.2348
0.2348 0.2348 0.7652
0.7652 0.2348 0.7652
0.7652 0.7652 0.2348
0.2348 0.7652 0.7652
```

Output
- ΔE_f (raw) (eV per atom) = -2.15
- space group = Fm-3m (225)

no.,size of the total moment (μB per formula unit)
1,0.00
2,1.12
3,0.00
4,0.00
5,0.00
6,0.00
7,0.00
8,0.00
9,0.00
10,0.00
11,0.00
12,0.00